Ac2ErGa | GGA-PBE | relaxed

CIF file:
```
data_Ac2ErGa
_chemical_formula_sum 'Ac6 Er3 Ga3'
_cell_length_a 3.7651
_cell_length_b 3.7651
_cell_length_c 37.3216
_cell_angle_alpha 90.00
_cell_angle_beta 90.00
_cell_angle_gamma 120.00
_symmetry_space_group_name_H-M 'R -3 m'
_symmetry_Int_Tables_number 166
_symmetry_space_group_name_Hall '-R 3 2"'
loop_
_atom_site_label
_atom_site_fract_x
_atom_site_fract_y
_atom_site_fract_z
Ac1 0.0000 0.0000 0.0871
Er1 0.0000 0.0000 0.5000
Ga1 0.0000 0.0000 0.0000
```

## Properties
The calculation puts the distance to the lowest polymorph of the same formula at 392 meV per atom. The value obtained for the density of states at the Fermi level is 13.82 states/eV per cell. Its formation enthalpy at 0 K is 239 meV/atom.